No. 1
DFT (PBE) results for an optimized crystal structure of Y2Ir3Rh.

Cell lengths 5.3585, 5.3585, 13.1525 Å; angles 90.00, 90.00, 120.00 degrees
Space group R-3m (No. 166, hexagonal axes)
Asymmetric unit:
Y  0.0000  0.0000  0.1244 [6 per cell]
Ir  0.0000  0.5000  0.0000 [9 per cell]
Rh  0.0000  0.0000  0.5000 [3 per cell]

Values from the calculation:
**Energy of formation from the pure elements**: -0.784 eV per atom
**Size of the total moment**: 0.000 μB per formula unit

No. 2
DFT (PBE) results for an optimized crystal structure of PuThOs.

Cell lengths 3.583, 3.583, 10.494 Å; angles 90.00, 90.00, 90.00 degrees
Space group I4mm (No. 107)
Asymmetric unit:
Pu  0.000  0.000  0.000 [2 per cell]
Th  0.000  0.000  0.308 [2 per cell]
Os  0.000  0.000  0.646 [2 per cell]

Values from the calculation:
**Energy of formation from the pure elements**: -0.014 eV per atom
**Size of the total moment**: 4.790 μB per formula unit

No. 3
DFT (PBE) results for an optimized crystal structure of K2RuC.

Cell lengths 11.933, 11.933, 3.802 Å; angles 90.00, 90.00, 90.00 degrees
Space group I-42d (No. 122)
Asymmetric unit:
K  0.016  0.250  0.125 [8 per cell]
Ru  0.000  0.000  0.500 [4 per cell]
C  0.000  0.000  0.000 [4 per cell]

Values from the calculation:
**Energy of formation from the pure elements**: 0.772 eV per atom
**Size of the total moment**: 0.121 μB per formula unit